Here is an optimized crystal structure of NaMoF2 from Alexandria. Energies are from PBE with a Hubbard U.

```
NaMoF2
1.0
0.3713 0.9753 4.2722
0.1287 4.2014 1.2932
-3.4109 1.7406 2.1626
Na Mo F
1 1 2
Direct
0.0000 0.0000 0.0000 Na
0.5000 0.5000 0.5000 Mo
0.2500 0.2500 0.2500 F
0.7500 0.7500 0.7500 F
```

Output
DFT total energy   -17.3 eV for the cell shown